DFT (PBE-GGA) results for crystalline KWC2 at its relaxed geometry.

Properties
Formation enthalpy at 0 K, eV/f.u.: 2.54
Total magnetic moment, μB/cell: 0.00
Excess energy over the best structure of this formula in the dataset, eV per formula unit: 0.00
DOS(E_F), states/eV per cell: 3.692
Space group: No. 122
Mass density, kg/m3: 4717
Crystal system: tetragonal

a = 6.185 Å, b = 6.185 Å, c = 6.308 Å
α = 60.64°, β = 60.64°, γ = 90.00°
Sites, in units of the cell vectors:
W1 0.000 0.000 0.000
C1 0.875 0.071 0.750
C2 0.821 0.125 0.250
W2 0.750 0.250 0.500
K1 0.250 0.750 0.500
K2 0.500 0.500 0.000
C3 0.375 0.179 0.750
C4 0.929 0.625 0.250